Crystalline K2HoCrO6 at its relaxed geometry, computed with PBE+U.

- Electronic total energy: -6.0202 eV per atom
- V: 188 Å³/f.u.
- D(E_F): 1.2 states/eV/f.u.
- Size of the total moment: 1.01 μB/f.u.
- SG: No. 164

abc: 5.655 6.195 6.195
angles: 120.00 90.00 90.00
Fractional coordinates of all 10 atoms:
1 K 0.104 0.333 0.667
2 K 0.896 0.667 0.333
3 Ho 0.500 0.000 0.000
4 Cr 0.000 0.000 0.000
5 O 0.802 0.137 0.274
6 O 0.802 0.137 0.863
7 O 0.802 0.726 0.863
8 O 0.198 0.863 0.137
9 O 0.198 0.274 0.137
10 O 0.198 0.863 0.726